# SrZrPO (GGA-PBE, relaxed)
# **Theoretical density**: 4.11 g/cm3
# **Energy above the most stable polymorph in this dataset**: 497 meV per atom
data_SrZrPO
_chemical_formula_sum 'Sr2 Zr2 P2 O2'
_cell_length_a 4.566
_cell_length_b 4.566
_cell_length_c 8.748
_cell_angle_alpha 90.00
_cell_angle_beta 90.00
_cell_angle_gamma 90.00
_space_group_name_H-M_alt 'P 4/n m m'
_space_group_IT_number 129
loop_
_space_group_symop_operation_xyz
'x,y,z'
'-x,-y,-z'
'-y+1/2,x,z'
'y+1/2,-x,-z'
'-x+1/2,-y+1/2,z'
'x+1/2,y+1/2,-z'
'y,-x+1/2,z'
'-y,x+1/2,-z'
'x+1/2,-y,-z'
'-x+1/2,y,z'
'-y,-x,-z'
'y,x,z'
'-x,y+1/2,-z'
'x,-y+1/2,z'
'y+1/2,x+1/2,-z'
'-y+1/2,-x+1/2,z'
loop_
_atom_site_label
_atom_site_type_symbol
_atom_site_fract_x
_atom_site_fract_y
_atom_site_fract_z
_atom_site_occupancy
Sr1 Sr 0.250 0.750 0.000 1
Zr1 Zr 0.250 0.250 0.486 1
P1 P 0.250 0.250 0.205 1
O1 O 0.250 0.750 0.500 1